Record 1
First-principles (GGA-PBE) data for crystalline Ac8Bi4Te3P at its relaxed geometry, as listed in Alexandria via LeMat-Bulk.

Cell lengths 9.576, 9.520, 9.576 Å; angles 120.19, 120.00, 90.00 degrees
Atoms (fractional coordinates):
Ac 0.762 0.741 0.002
Ac 0.239 0.741 0.479
Ac 0.761 0.259 0.998
Ac 0.239 0.741 0.002
Ac 0.238 0.259 0.998
Ac 0.751 0.752 0.501
Ac 0.761 0.259 0.521
Ac 0.249 0.248 0.499
Te 0.500 0.500 0.000
Te 0.000 0.500 0.500
Te 0.500 0.500 0.500
Bi 0.500 0.000 0.000
Bi 0.000 0.000 0.500
Bi 0.000 0.000 0.000
Bi 0.500 0.000 0.500
P 0.000 0.500 0.000


Record 2
First-principles (GGA-PBE) data for crystalline Ac4BiTe2P at its relaxed geometry, as listed in Alexandria via LeMat-Bulk.

Cell lengths 4.667, 8.179, 8.182 Å; angles 109.04, 90.00, 90.00 degrees
Atoms (fractional coordinates):
P 0.000 0.000 0.000
Ac 0.500 0.775 0.776
Ac 0.000 0.236 0.765
Ac 0.500 0.225 0.224
Ac 0.000 0.764 0.235
Bi 0.500 0.500 0.000
Te 0.000 0.500 0.500
Te 0.500 0.000 0.500


Short version: total energy = -5.208; -5.391 eV/atom, in the order given.
Short version: E_form (uncorrected) = -1.256; -1.390 eV per atom, in the order given.